[1]
Entry from the Alexandria database: crystalline CrH at its relaxed geometry (PBE).

Output
VASP energy in eV/f.u.: -13.07

abc: 2.670 2.670 4.350
angles: 90.00 90.00 120.00
Atoms (fractional coordinates):
Cr 0.333 0.667 0.250
Cr 0.667 0.333 0.750
H 0.000 0.000 0.000
H 0.000 0.000 0.500

***

[2]
Entry from the Alexandria database: crystalline Nb2IrRh4 at its relaxed geometry (PBE).

Output
Energy relative to the elements in meV per atom: 116

abc: 7.423 7.423 4.294
angles: 90.00 90.00 90.00
Atoms (fractional coordinates):
Nb 0.239 0.239 0.000
Nb 0.261 0.739 0.500
Nb 0.739 0.261 0.500
Nb 0.761 0.761 0.000
Ir 0.000 0.000 0.500
Ir 0.500 0.500 0.000
Rh 0.082 0.667 0.000
Rh 0.167 0.418 0.500
Rh 0.333 0.918 0.000
Rh 0.418 0.167 0.500
Rh 0.582 0.833 0.500
Rh 0.667 0.082 0.000
Rh 0.833 0.582 0.500
Rh 0.918 0.333 0.000

***

[3]
Entry from the Alexandria database: crystalline TbHgGe at its relaxed geometry (PBE).

Output
Energy relative to the elements in meV per atom: -258

abc: 8.490 8.490 8.490
angles: 32.28 32.28 32.28
Atoms (fractional coordinates):
Tb 0.076 0.076 0.076
Tb 0.924 0.924 0.924
Hg 0.349 0.349 0.349
Hg 0.651 0.651 0.651
Ge 0.196 0.196 0.196
Ge 0.804 0.804 0.804

***

[4]
Entry from the Alexandria database: crystalline CsCu3As at its relaxed geometry (PBE).

Output
Energy relative to the elements in meV per atom: 306

abc: 4.877 4.877 4.877
angles: 90.00 90.00 90.00
Atoms (fractional coordinates):
Cs 0.000 0.000 0.000
Cu 0.000 0.500 0.500
Cu 0.500 0.000 0.500
Cu 0.500 0.500 0.000
As 0.500 0.500 0.500

***

no.,D(E_F) (states/eV per cell)
1,2.292
2,13.562
3,4.518
4,2.817